Below is a relaxed Li2AlSb crystal, with properties calculated at the PBE level.

Computed properties:
- VASP energy (eV per atom) = -3.0359
- E_form (uncorrected) (meV per atom) = -113
- density of states at the Fermi level (states/eV/f.u.) = 1.9

Cell: 4.1378 4.1378 10.1154 Å, 78.20 78.20 90.00°
Atoms (fractional coordinates):
Li 0.3750 0.3752 0.7500
Li 0.8750 0.8748 0.7500
Li 0.6248 0.1250 0.2500
Li 0.1252 0.6250 0.2500
Sb 0.7500 0.2500 0.5000
Sb 0.0000 0.0000 0.0000
Al 0.2500 0.7500 0.5000
Al 0.5000 0.5000 0.0000